Below is a relaxed structure of Cu2Ag3, with properties calculated at the PBE-GGA level.

```
Cu2Ag3
1.0
-3.648 2.904 1.672
-4.153 0.263 2.687
7.552 1.829 8.524
Ag Cu
6 4
direct
0.901 0.901 0.303 Ag
0.190 0.190 0.408 Ag
0.798 0.798 0.614 Ag
0.319 0.319 0.077 Ag
0.608 0.608 0.184 Ag
0.084 0.084 0.713 Ag
0.389 0.389 0.818 Cu
0.018 0.018 0.979 Cu
0.701 0.701 0.896 Cu
0.492 0.492 0.508 Cu
```

Results
E = -31.08 eV/cell
ρ = 9.626 g/cm³
Space-group type = Cm (8)
Energy above the lowest structure with this stoichiometry = 41.6 meV per atom

Below is a relaxed structure of K3RbPd2N2, with properties calculated at the PBE-GGA level.

```
K3RbPd2N2
1.0
-0.122 5.651 0.065
-5.476 -0.109 -0.766
-0.740 -1.606 5.521
K N Pd Rb
3 2 2 1
direct
0.539 0.500 0.183 K
0.195 0.500 0.542 K
0.458 0.000 0.817 K
0.779 0.500 0.786 N
0.225 0.000 0.215 N
0.004 0.251 0.001 Pd
0.004 0.749 0.001 Pd
0.795 0.000 0.456 Rb
```

Results
E = -29.74 eV/cell
ρ = 4.213 g/cm³
Space-group type = Pm (6)

Below is a relaxed structure of CdAgNO, with properties calculated at the PBE-GGA level.

```
CdAgNO
1.0
-0.398 -2.350 4.174
7.952 -3.796 -1.380
2.106 3.601 2.229
N O Cd Ag
4 4 4 4
direct
0.999 0.885 0.053 N
0.001 0.115 0.553 N
0.501 0.885 0.553 N
0.499 0.115 0.053 N
0.500 0.374 0.549 O
0.500 0.626 0.049 O
0.000 0.374 0.049 O
0.000 0.626 0.549 O
0.500 0.630 0.549 Cd
0.500 0.370 0.049 Cd
0.000 0.630 0.049 Cd
0.000 0.370 0.549 Cd
0.500 0.877 0.052 Ag
0.000 0.123 0.052 Ag
0.000 0.877 0.552 Ag
0.500 0.123 0.552 Ag
```

Results
E = -62.32 eV/cell
ρ = 8.199 g/cm³
Space-group type = Pca2_1 (29)
Energy above the lowest structure with this stoichiometry = 0.0 meV per atom

Below is a relaxed structure of TbZn2Pd3, with properties calculated at the PBE-GGA level.

```
TbZn2Pd3
1.0
-0.756 4.062 1.541
-2.320 -3.414 1.552
8.480 -1.761 8.802
Tb Pd Zn
2 6 4
direct
0.000 0.000 0.250 Tb
0.000 0.000 0.750 Tb
0.333 0.667 0.129 Pd
0.667 0.333 0.629 Pd
0.333 0.667 0.371 Pd
0.000 0.000 0.000 Pd
0.000 0.000 0.500 Pd
0.667 0.333 0.871 Pd
0.333 0.667 0.581 Zn
0.667 0.333 0.419 Zn
0.667 0.333 0.081 Zn
0.333 0.667 0.919 Zn
```

Results
Spin magnetization = 0.0 μB/f.u.
E = -53.87 eV/cell
ρ = 9.725 g/cm³
Space-group type = P6_3/mmc (194)

Below is a relaxed structure of SrIn2IrPd, with properties calculated at the PBE-GGA level.

```
SrIn2IrPd
1.0
-2.789 -2.160 3.027
-0.119 -3.730 -2.772
8.684 -4.068 5.099
Pd Ir In Sr
2 2 4 2
direct
0.500 0.500 0.000 Pd
0.000 0.000 0.000 Pd
0.000 0.500 0.368 Ir
0.500 0.000 0.632 Ir
0.000 0.500 0.126 In
0.000 0.000 0.500 In
0.500 0.500 0.500 In
0.500 0.000 0.874 In
0.500 0.000 0.247 Sr
0.000 0.500 0.753 Sr
```

Results
Spin magnetization = 0.0 μB/f.u.
E = -46.79 eV/cell
ρ = 8.715 g/cm³
Space-group type = P4/nmm (129)

Below is a relaxed structure of HfTe2, with properties calculated at the PBE-GGA level.

```
HfTe2
1.0
6.746 0.000 0.000
0.000 7.322 0.000
-0.828 0.000 6.950
Te Hf
8 4
direct
0.581 0.217 0.493 Te
0.906 0.613 0.708 Te
0.581 0.283 0.993 Te
0.094 0.113 0.792 Te
0.419 0.783 0.507 Te
0.419 0.717 0.007 Te
0.094 0.387 0.292 Te
0.906 0.887 0.208 Te
0.288 0.056 0.189 Hf
0.288 0.444 0.689 Hf
0.712 0.556 0.311 Hf
0.712 0.944 0.811 Hf
```

Results
Spin magnetization = 0.0 μB/f.u.
E = -72.98 eV/cell
ρ = 8.392 g/cm³
Space-group type = P2_1/c (14)